# 1
Density functional theory data (PBE) for crystalline Pr3CoPb at its relaxed geometry.

The structure belongs to space group Pm-3m (No. 221); the cell edges are 5.322, 5.322 and 5.322 Å and the angles 90.00°, 90.00° and 90.00°. The inequivalent atoms are Pr at (0.000, 0.000, 0.500), Co at (0.000, 0.000, 0.000) and Pb at (0.500, 0.500, 0.500).

The energy above the lowest structure with this stoichiometry is 0.061 eV per atom. The value obtained for the mass density is 7.589 g/cm3. The calculation puts the final energy at -5.26 eV per atom. The formation energy is -1.13 eV per formula unit.

=====

# 2
Density functional theory data (PBE) for crystalline Pr12Co5Pb3 at its relaxed geometry.

The structure belongs to space group Ia-3d (No. 230); the cell edges are 17.291, 17.291 and 17.291 Å and the angles 90.00°, 90.00° and 90.00°. The inequivalent atoms are Pr at (0.030, 0.054, 0.648), Co at (0.000, 0.000, 0.000), Co at (0.000, 0.250, 0.375) and Pb at (0.000, 0.250, 0.125).

The value obtained for the mass density is 6.700 g/cm3. The calculation puts the final energy at -5.17 eV per atom. The formation energy is 0.71 eV per formula unit.

=====

# 3
Density functional theory data (PBE) for crystalline Pr4CoPb at its relaxed geometry.

The structure belongs to space group C2/m (No. 12); the cell edges are 17.063, 7.200 and 6.237 Å and the angles 90.00°, 109.79° and 90.00°. The inequivalent atoms are Pr at (0.000, 0.238, 0.000), Pr at (0.118, 0.249, 0.614), Pr at (0.191, 0.500, 0.197), Co at (0.024, 0.500, 0.328) and Pb at (0.194, 0.000, 0.197).

The value obtained for the mass density is 7.645 g/cm3. The calculation puts the final energy at -5.22 eV per atom. The formation energy is -1.40 eV per formula unit.

=====

# 4
Density functional theory data (PBE) for crystalline Pr12CoPb6 at its relaxed geometry.

The structure belongs to space group R-3 (No. 148, hexagonal axes); the cell edges are 12.5453, 12.5453 and 14.4999 Å and the angles 90.00°, 90.00° and 120.00°. The inequivalent atoms are Pr at (0.0305, 0.8393, 0.3885), Pr at (0.0353, 0.1899, 0.8860), Co at (0.0000, 0.0000, 0.0000) and Pb at (0.0056, 0.6145, 0.2532).

The value obtained for the mass density is 7.544 g/cm3. The calculation puts the final energy at -4.88 eV per atom. The formation energy is -5.97 eV per formula unit.

=====

# 5
Density functional theory data (PBE) for crystalline Pr3CoPb at its relaxed geometry.

The structure belongs to space group P6_3/mmc (No. 194); the cell edges are 7.6494, 7.6494 and 5.7131 Å and the angles 90.00°, 90.00° and 120.00°. The inequivalent atoms are Pr at (0.1763, 0.3527, 0.2500), Co at (0.0000, 0.0000, 0.0000) and Pb at (0.3333, 0.6667, 0.7500).

The energy above the lowest structure with this stoichiometry is 0.000 eV per atom. The value obtained for the mass density is 7.902 g/cm3. The calculation puts the final energy at -5.32 eV per atom. The formation energy is -1.43 eV per formula unit.

=====

# 6
Density functional theory data (PBE) for crystalline Pr7Co2Pb2 at its relaxed geometry.

The structure belongs to space group Cmmm (No. 65); the cell edges are 8.246, 11.500 and 7.297 Å and the angles 90.00°, 90.00° and 90.00°. The inequivalent atoms are Pr at (0.000, 0.000, 0.000), Pr at (0.000, 0.500, 0.223), Pr at (0.250, 0.250, 0.241), Co at (0.000, 0.286, 0.000) and Pb at (0.184, 0.000, 0.500).

The value obtained for the mass density is 7.289 g/cm3. The calculation puts the final energy at -5.16 eV per atom. The formation energy is -1.63 eV per formula unit.

=====

- Which of these has the lowest final energy?
  number 5

=====

- Which of these has the highest formation energy?
  Pr12Co5Pb3

=====

- What is the formation energy in the fourth record?
  -5.97 eV per formula unit